VASP calculation (PBE) on MnV2FeH after structural relaxation.

a = 3.9582 Å, b = 3.9582 Å, c = 3.1789 Å
α = 90.00°, β = 90.00°, γ = 90.00°
With the nearest neighbours (Å) after each atom.
Space group P4/mmm (No. 123)
Symmetry-distinct sites (fractional):
Mn (0.0000, 0.0000, 0.0000) [1 per cell]  8 V 2.54, 4 Fe 2.80
V (0.0000, 0.5000, 0.5000) [2 per cell]  2 H 1.98
Fe (0.5000, 0.5000, 0.0000) [1 per cell]  2 H 1.59
H (0.5000, 0.5000, 0.5000) [1 per cell]  2 Fe 1.59

Computed properties:
- Energy above the most stable polymorph in this dataset: 0.00 kJ/mol of atoms
- Raw total energy: -0.29064 Ha/atom